Ca2RuPbO8: relaxed, PBE.

The structure in extended XYZ format:
```
12
Lattice="5.0478 0.0000 0.0000 0.0000 6.8336 0.0000 -0.2723 0.0000 5.0505" Properties=species:S:1:pos:R:3 pbc="T T T"
Ca 0.0000 1.6640 0.0000
Ca 0.0000 5.1696 0.0000
Ru 2.3878 0.0000 2.5253
Pb 2.3878 3.4168 2.5253
O 1.0161 3.4168 1.0688
O 1.1107 0.0000 1.1700
O 1.4383 1.3841 3.4212
O 1.4383 5.4495 3.4212
O 3.3372 1.3841 1.6293
O 3.3372 5.4495 1.6293
O 3.6648 0.0000 3.8805
O 3.7594 3.4168 3.9818
```

## Properties
Crystal system: monoclinic
Space group: P2/m (10)
Final energy in hartree per atom: -0.2239
Raw formation energy in eV per atom: -1.3723